(1)
VASP calculation (PBE) on a relaxed YTlTc2 crystal.

## Properties
* E: -27.878 eV per formula unit
* total magnetization: 0.0 μB per formula unit

abc: 4.763 4.763 4.763
angles: 60.00 60.00 60.00
Sites, in units of the cell vectors:
Tc1 0.000 0.000 0.000
Tc2 0.750 0.750 0.750
Tl1 0.500 0.500 0.500
Y1 0.250 0.250 0.250


(2)
VASP calculation (PBE) on a relaxed TlZn2Tc crystal.

## Properties
* E: -13.010 eV per formula unit
* total magnetization: 0.0 μB per formula unit

abc: 4.566 4.566 4.566
angles: 60.00 60.00 60.00
Sites, in units of the cell vectors:
Tc1 0.250 0.250 0.250
Tl1 0.500 0.500 0.500
Zn1 0.000 0.000 0.000
Zn2 0.750 0.750 0.750


(3)
VASP calculation (PBE) on a relaxed Tl2ZnTc crystal.

## Properties
* E: -13.045 eV per formula unit
* total magnetization: 2.2 μB per formula unit

abc: 4.940 4.940 4.940
angles: 60.00 60.00 60.00
Site moments in Bohr magnetons follow the coordinates.
Sites, in units of the cell vectors:
Tc1 0.000 0.000 0.000  1.93
Tl1 0.250 0.250 0.250  -0.01
Tl2 0.500 0.500 0.500  0.02
Zn1 0.750 0.750 0.750  -0.01


(4)
VASP calculation (PBE) on a relaxed TlZnTc2 crystal.

## Properties
* E: -22.145 eV per formula unit
* total magnetization: 0.0 μB per formula unit

abc: 4.522 4.522 4.522
angles: 60.00 60.00 60.00
Sites, in units of the cell vectors:
Tc1 0.000 0.000 0.000
Tc2 0.750 0.750 0.750
Tl1 0.500 0.500 0.500
Zn1 0.250 0.250 0.250


(5)
VASP calculation (PBE) on a relaxed ZrTlTc2 crystal.

## Properties
* E: -30.015 eV per formula unit
* total magnetization: 0.0 μB per formula unit

abc: 4.676 4.676 4.676
angles: 60.00 60.00 60.00
Sites, in units of the cell vectors:
Tc1 0.000 0.000 0.000
Tc2 0.750 0.750 0.750
Tl1 0.500 0.500 0.500
Zr1 0.250 0.250 0.250


(6)
VASP calculation (PBE) on a relaxed TmTc2 crystal.

## Properties
* ΔH_f (0 K): 1010 kJ/mol of formula units
* offset from the most stable computed form: 11.21 eV/f.u.
* total magnetization: 7.0 μB per formula unit

abc: 8.768 8.768 8.768
angles: 60.00 60.00 60.00
Site moments in Bohr magnetons follow the coordinates.
Sites, in units of the cell vectors:
Tc1 0.375 0.375 0.375  2.87
Tc2 0.875 0.375 0.375  2.65
Tc3 0.375 0.875 0.375  2.84
Tc4 0.375 0.375 0.875  2.91
Tm1 0.250 0.250 0.250  -0.22
Tm2 0.500 0.500 0.500  -0.22


(7)
VASP calculation (PBE) on a relaxed TmTc2 crystal.

## Properties
* ΔH_f (0 K): -71 kJ/mol of formula units
* offset from the most stable computed form: 0.00 eV/f.u.
* total magnetization: 0.0 μB per formula unit

abc: 5.337 5.337 8.797
angles: 90.00 90.00 120.00
Sites, in units of the cell vectors:
Tc1 0.000 0.000 0.000
Tc2 0.171 0.343 0.250
Tc3 0.171 0.829 0.250
Tc4 0.657 0.829 0.250
Tc5 0.000 0.000 0.500
Tc6 0.343 0.171 0.750
Tc7 0.829 0.171 0.750
Tc8 0.829 0.657 0.750
Tm1 0.667 0.333 0.063
Tm2 0.667 0.333 0.437
Tm3 0.333 0.667 0.563
Tm4 0.333 0.667 0.937


(8)
VASP calculation (PBE) on a relaxed TmTc2 crystal.

## Properties
* ΔH_f (0 K): -60 kJ/mol of formula units
* offset from the most stable computed form: 0.11 eV/f.u.
* total magnetization: 0.0 μB per formula unit

abc: 5.355 5.355 5.355
angles: 60.00 60.00 60.00
Sites, in units of the cell vectors:
Tc1 0.625 0.625 0.125
Tc2 0.625 0.125 0.625
Tc3 0.125 0.625 0.625
Tc4 0.625 0.625 0.625
Tm1 0.000 0.000 0.000
Tm2 0.250 0.250 0.250


- What is the total magnetization in the sixth record?
  7.0 μB per formula unit